A relaxed structure of ScCoSnOs, computed with PBE.

Results
energy relative to the elements = -256.9 meV per atom
crystal system = cubic
density = 10.76 g cm⁻³
DOS(E_F) = 0.257 states/eV per atom
SG = F-43m (216)

Cell lengths 4.4829, 4.4829, 4.4829 Å; angles 60.00, 60.00, 60.00 degrees
Element x y z (fractional)
Co 0.7500 0.7500 0.7500
Sn 0.0000 0.0000 0.0000
Sc 0.5000 0.5000 0.5000
Os 0.2500 0.2500 0.2500